Below is crystalline K2SrCa at its relaxed geometry, with properties calculated at the PBEsol level.

Calculated values
mass density: 1.53 g cm⁻³
total energy: -1.470 eV/atom
energy of formation from the pure elements: 0.090 eV/atom
M_tot: 0.0 μB/f.u.
Fermi-level density of states: 4.66 states/eV/f.u.

```
data_K2SrCa
_space_group_name_H-M_alt 'P 4 m m'
_space_group_IT_number 99
_cell_length_a 4.125
_cell_length_b 4.125
_cell_length_c 13.108
_cell_angle_alpha 90.00
_cell_angle_beta 90.00
_cell_angle_gamma 90.00
loop_
_space_group_symop_operation_xyz
'x,y,z'
'-y,x,z'
'-x,-y,z'
'y,-x,z'
'-x,y,z'
'y,x,z'
'x,-y,z'
'-y,-x,z'
loop_
_atom_site_label
_atom_site_type_symbol
_atom_site_fract_x
_atom_site_fract_y
_atom_site_fract_z
K1 K 0.000 0.000 0.000
K2 K 0.500 0.500 0.283
Sr1 Sr 0.000 0.000 0.546
Ca1 Ca 0.500 0.500 0.758
```

Below is crystalline YTaSnO2 at its relaxed geometry, with properties calculated at the PBEsol level.

Calculated values
mass density: 6.61 g cm⁻³
total energy: -6.217 eV/atom
M_tot: 0.1 μB/f.u.
uncorrected formation energy: 0.6089 eV/atom
Fermi-level density of states: 4.89 states/eV/f.u.

```
data_YTaSnO2
_space_group_name_H-M_alt 'P 4/m m m'
_space_group_IT_number 123
_space_group_name_Hall '-P 4 2'
_cell_length_a 4.029
_cell_length_b 4.029
_cell_length_c 6.513
_cell_angle_alpha 90.00
_cell_angle_beta 90.00
_cell_angle_gamma 90.00
loop_
_atom_site_label
_atom_site_type_symbol
_atom_site_fract_x
_atom_site_fract_y
_atom_site_fract_z
Y1 Y 0.000 0.000 0.000
Ta1 Ta 0.500 0.500 0.000
Sn1 Sn 0.000 0.000 0.500
O1 O 0.000 0.500 0.500
```

Below is crystalline InHg3 at its relaxed geometry, with properties calculated at the PBEsol level.

Calculated values
mass density: 12.39 g cm⁻³
total energy: -1.155 eV/atom
energy of formation from the pure elements: 0.015 eV/atom
M_tot: 0.0 μB/f.u.
Fermi-level density of states: 1.55 states/eV/f.u.

```
data_InHg3
_space_group_name_H-M_alt 'P m -3 n'
_space_group_IT_number 223
_space_group_name_Hall '-P 4n 2 3'
_cell_length_a 5.769
_cell_length_b 5.769
_cell_length_c 5.769
_cell_angle_alpha 90.00
_cell_angle_beta 90.00
_cell_angle_gamma 90.00
loop_
_atom_site_label
_atom_site_type_symbol
_atom_site_fract_x
_atom_site_fract_y
_atom_site_fract_z
In1 In 0.000 0.000 0.000
Hg1 Hg 0.000 0.250 0.500
```

Below is crystalline Ba2TmCu3O7 at its relaxed geometry, with properties calculated at the PBEsol level.

Calculated values
mass density: 7.41 g cm⁻³
total energy: -6.401 eV/atom
M_tot: 0.0 μB/f.u.
uncorrected formation energy: -1.8665 eV/atom
Fermi-level density of states: 5.21 states/eV/f.u.

```
data_Ba2TmCu3O7
_space_group_name_H-M_alt 'P m m m'
_space_group_IT_number 47
_cell_length_a 3.780
_cell_length_b 3.853
_cell_length_c 11.486
_cell_angle_alpha 90.00
_cell_angle_beta 90.00
_cell_angle_gamma 90.00
loop_
_space_group_symop_operation_xyz
'x,y,z'
'-x,-y,-z'
'-x,-y,z'
'x,y,-z'
'x,-y,-z'
'-x,y,z'
'-x,y,-z'
'x,-y,z'
loop_
_atom_site_label
_atom_site_type_symbol
_atom_site_fract_x
_atom_site_fract_y
_atom_site_fract_z
Ba1 Ba 0.000 0.000 0.182
Tm1 Tm 0.000 0.000 0.500
Cu1 Cu 0.500 0.500 0.000
Cu2 Cu 0.500 0.500 0.355
O1 O 0.000 0.500 0.381
O2 O 0.500 0.000 0.000
O3 O 0.500 0.000 0.380
O4 O 0.500 0.500 0.162
```

Below is crystalline CoNi2Sb at its relaxed geometry, with properties calculated at the PBEsol level.

Calculated values
mass density: 10.08 g cm⁻³
total energy: -6.267 eV/atom
M_tot: 0.0 μB/f.u.
uncorrected formation energy: -0.1151 eV/atom
Fermi-level density of states: 3.23 states/eV/f.u.

```
data_CoNi2Sb
_space_group_name_H-M_alt 'P 4/m m m'
_space_group_IT_number 123
_space_group_name_Hall '-P 4 2'
_cell_length_a 3.634
_cell_length_b 3.634
_cell_length_c 3.717
_cell_angle_alpha 90.00
_cell_angle_beta 90.00
_cell_angle_gamma 90.00
loop_
_atom_site_label
_atom_site_type_symbol
_atom_site_fract_x
_atom_site_fract_y
_atom_site_fract_z
Co1 Co 0.000 0.000 0.000
Ni1 Ni 0.000 0.500 0.500
Sb1 Sb 0.500 0.500 0.000
```

Below is crystalline La3Mg at its relaxed geometry, with properties calculated at the PBEsol level.

Calculated values
mass density: 5.83 g cm⁻³
total energy: -4.468 eV/atom
energy of formation from the pure elements: -0.029 eV/atom
M_tot: 0.0 μB/f.u.
Fermi-level density of states: 4.70 states/eV/f.u.

```
data_La3Mg
_space_group_name_H-M_alt 'I 4/m m m'
_space_group_IT_number 139
_space_group_name_Hall '-I 4 2'
_cell_length_a 4.982
_cell_length_b 4.982
_cell_length_c 20.226
_cell_angle_alpha 90.00
_cell_angle_beta 90.00
_cell_angle_gamma 90.00
loop_
_atom_site_label
_atom_site_type_symbol
_atom_site_fract_x
_atom_site_fract_y
_atom_site_fract_z
La1 La 0.000 0.000 0.127
La2 La 0.000 0.500 0.000
La3 La 0.000 0.500 0.250
Mg1 Mg 0.000 0.000 0.374
```

Below is crystalline La6Si7Br3 at its relaxed geometry, with properties calculated at the PBEsol level.

Calculated values
mass density: 5.25 g cm⁻³
total energy: -5.984 eV/atom
M_tot: 0.0 μB/f.u.
uncorrected formation energy: -1.1143 eV/atom
Fermi-level density of states: 4.68 states/eV/f.u.

```
data_La6Si7Br3
_space_group_name_H-M_alt 'P m m n'
_space_group_IT_number 59
_cell_length_a 4.086
_cell_length_b 16.698
_cell_length_c 11.778
_cell_angle_alpha 90.00
_cell_angle_beta 90.00
_cell_angle_gamma 90.00
loop_
_space_group_symop_operation_xyz
'x,y,z'
'-x,-y,-z'
'-x+1/2,-y+1/2,z'
'x+1/2,y+1/2,-z'
'x+1/2,-y,-z'
'-x+1/2,y,z'
'-x,y+1/2,-z'
'x,-y+1/2,z'
loop_
_atom_site_label
_atom_site_type_symbol
_atom_site_fract_x
_atom_site_fract_y
_atom_site_fract_z
La1 La 0.250 0.005 0.143
La2 La 0.250 0.129 0.437
La3 La 0.250 0.250 0.143
La4 La 0.250 0.750 0.159
Si1 Si 0.250 0.127 0.933
Si2 Si 0.250 0.625 0.754
Si3 Si 0.250 0.626 0.958
Si4 Si 0.250 0.750 0.652
Br1 Br 0.250 0.250 0.638
Br2 Br 0.250 0.557 0.391
```

Below is crystalline RbReN2 at its relaxed geometry, with properties calculated at the PBEsol level.

Calculated values
mass density: 6.43 g cm⁻³
total energy: -8.099 eV/atom
M_tot: 0.0 μB/f.u.
uncorrected formation energy: -0.2467 eV/atom
energy above the most stable polymorph in this dataset: 0.09 eV per formula unit
Fermi-level density of states: 1.38 states/eV/f.u.

```
data_RbReN2
_space_group_name_H-M_alt 'I -4 2 d'
_space_group_IT_number 122
_space_group_name_Hall 'I -4 2bw'
_cell_length_a 5.749
_cell_length_b 5.749
_cell_length_c 9.373
_cell_angle_alpha 90.00
_cell_angle_beta 90.00
_cell_angle_gamma 90.00
loop_
_atom_site_label
_atom_site_type_symbol
_atom_site_fract_x
_atom_site_fract_y
_atom_site_fract_z
Rb1 Rb 0.000 0.000 0.000
Re1 Re 0.000 0.000 0.500
N1 N 0.033 0.250 0.625
```

Below is crystalline TcPbW at its relaxed geometry, with properties calculated at the PBEsol level.

Calculated values
mass density: 15.67 g cm⁻³
total energy: -8.817 eV/atom
energy of formation from the pure elements: 0.874 eV/atom
M_tot: 0.0 μB/f.u.
energy above the most stable polymorph in this dataset: 0.70 eV per formula unit
Fermi-level density of states: 3.15 states/eV/f.u.

```
data_TcPbW
_space_group_name_H-M_alt 'P -6 m 2'
_space_group_IT_number 187
_space_group_name_Hall 'P -6 2'
_cell_length_a 4.5396
_cell_length_b 4.5396
_cell_length_c 2.9035
_cell_angle_alpha 90.00
_cell_angle_beta 90.00
_cell_angle_gamma 120.00
loop_
_atom_site_label
_atom_site_type_symbol
_atom_site_fract_x
_atom_site_fract_y
_atom_site_fract_z
Tc1 Tc 0.0000 0.0000 0.0000
Pb1 Pb 0.6667 0.3333 0.0000
W1 W 0.3333 0.6667 0.5000
```

Below is crystalline TePtI3 at its relaxed geometry, with properties calculated at the PBEsol level.

Calculated values
mass density: 5.90 g cm⁻³
total energy: -2.097 eV/atom
M_tot: 0.8 μB/f.u.
uncorrected formation energy: 1.0608 eV/atom
Fermi-level density of states: 14.25 states/eV/f.u.

```
data_TePtI3
_space_group_name_H-M_alt 'P m -3 m'
_space_group_IT_number 221
_space_group_name_Hall '-P 4 2 3'
_cell_length_a 5.830
_cell_length_b 5.830
_cell_length_c 5.830
_cell_angle_alpha 90.00
_cell_angle_beta 90.00
_cell_angle_gamma 90.00
loop_
_atom_site_label
_atom_site_type_symbol
_atom_site_fract_x
_atom_site_fract_y
_atom_site_fract_z
Te1 Te 0.000 0.000 0.000
Pt1 Pt 0.500 0.500 0.500
I1 I 0.000 0.000 0.500
```

Below is crystalline HoCdAg2 at its relaxed geometry, with properties calculated at the PBEsol level.

Calculated values
mass density: 10.35 g cm⁻³
total energy: -3.497 eV/atom
energy of formation from the pure elements: -0.305 eV/atom
M_tot: 0.0 μB/f.u.
Fermi-level density of states: 2.67 states/eV/f.u.

```
data_HoCdAg2
_space_group_name_H-M_alt 'F m -3 m'
_space_group_IT_number 225
_space_group_name_Hall '-F 4 2 3'
_cell_length_a 6.815
_cell_length_b 6.815
_cell_length_c 6.815
_cell_angle_alpha 90.00
_cell_angle_beta 90.00
_cell_angle_gamma 90.00
loop_
_atom_site_label
_atom_site_type_symbol
_atom_site_fract_x
_atom_site_fract_y
_atom_site_fract_z
Ho1 Ho 0.000 0.000 0.000
Cd1 Cd 0.000 0.000 0.500
Ag1 Ag 0.250 0.250 0.250
```

Below is crystalline CuTe2BrN at its relaxed geometry, with properties calculated at the PBEsol level.

Calculated values
mass density: 6.55 g cm⁻³
total energy: -3.613 eV/atom
M_tot: 1.0 μB/f.u.
uncorrected formation energy: 0.7435 eV/atom
Fermi-level density of states: 4.46 states/eV/f.u.

```
data_CuTe2BrN
_space_group_name_H-M_alt 'P 4/m m m'
_space_group_IT_number 123
_space_group_name_Hall '-P 4 2'
_cell_length_a 5.486
_cell_length_b 5.486
_cell_length_c 3.476
_cell_angle_alpha 90.00
_cell_angle_beta 90.00
_cell_angle_gamma 90.00
loop_
_atom_site_label
_atom_site_type_symbol
_atom_site_fract_x
_atom_site_fract_y
_atom_site_fract_z
Cu1 Cu 0.000 0.000 0.000
Te1 Te 0.000 0.500 0.000
Br1 Br 0.500 0.500 0.500
N1 N 0.000 0.000 0.500
```